Entry 1:
The following is a PBE-GGA calculation of crystalline Ce3BiTe2 at its relaxed geometry, from Alexandria.

Computed properties:
Formation energy (no corrections) ... -1.176 eV/atom
Crystal system ... orthorhombic
Calculated total energy ... -70.0 eV/cell

The structure in CIF format:
```
data_Ce3BiTe2
_chemical_formula_sum 'Ce6 Bi2 Te4'
_symmetry_space_group_name_H-M 'P 1'
_symmetry_Int_Tables_number 1
_cell_length_a 10.128
_cell_length_b 10.128
_cell_length_c 6.409
_cell_angle_alpha 90.00
_cell_angle_beta 90.00
_cell_angle_gamma 143.11
loop_
_symmetry_equiv_pos_as_xyz
'x,y,z'
loop_
_atom_site_label
_atom_site_type_symbol
_atom_site_fract_x
_atom_site_fract_y
_atom_site_fract_z
_atom_site_occupancy
Ce1 Ce 0.000 0.000 0.000 1
Ce2 Ce 0.165 0.835 0.500 1
Ce3 Ce 0.334 0.666 0.000 1
Ce4 Ce 0.500 0.500 0.500 1
Ce5 Ce 0.666 0.334 0.000 1
Ce6 Ce 0.835 0.165 0.500 1
Bi1 Bi 0.333 0.667 0.500 1
Bi2 Bi 0.667 0.333 0.500 1
Te1 Te 0.000 0.000 0.500 1
Te2 Te 0.166 0.834 0.000 1
Te3 Te 0.500 0.500 0.000 1
Te4 Te 0.834 0.166 0.000 1
```

=====

Entry 2:
The following is a PBE-GGA calculation of crystalline BeAsRh2 at its relaxed geometry, from Alexandria.

Computed properties:
Crystal system ... tetragonal
Calculated total energy ... -90.8 eV/cell
ΔE_f ... 0.094 eV per atom

The structure in CIF format:
```
data_BeAsRh2
_chemical_formula_sum 'Be4 As4 Rh8'
_symmetry_space_group_name_H-M 'P 1'
_symmetry_Int_Tables_number 1
_cell_length_a 5.153
_cell_length_b 5.153
_cell_length_c 10.472
_cell_angle_alpha 90.00
_cell_angle_beta 90.00
_cell_angle_gamma 90.00
loop_
_symmetry_equiv_pos_as_xyz
'x,y,z'
loop_
_atom_site_label
_atom_site_type_symbol
_atom_site_fract_x
_atom_site_fract_y
_atom_site_fract_z
_atom_site_occupancy
Be1 Be 0.000 0.000 0.000 1
Be2 Be 0.000 0.500 0.250 1
Be3 Be 0.500 0.000 0.750 1
Be4 Be 0.500 0.500 0.500 1
As1 As 0.000 0.000 0.500 1
As2 As 0.000 0.500 0.750 1
As3 As 0.500 0.000 0.250 1
As4 As 0.500 0.500 0.000 1
Rh1 Rh 0.213 0.250 0.125 1
Rh2 Rh 0.250 0.713 0.375 1
Rh3 Rh 0.250 0.787 0.875 1
Rh4 Rh 0.287 0.250 0.625 1
Rh5 Rh 0.713 0.750 0.625 1
Rh6 Rh 0.750 0.213 0.875 1
Rh7 Rh 0.750 0.287 0.375 1
Rh8 Rh 0.787 0.750 0.125 1
```

=====

Q: What is the calculated total energy in the second record?
A: -90.8 eV/cell